No. 1
Entry from Alexandria via LeMat-Bulk: a geometry-optimized Al2TlMo structure (GGA-PBEsol).

Output
space-group type	Pmm2
crystal system	orthorhombic
E above lowest polymorph	20.4	meV/atom
total energy	-5.43	eV per atom
energy of formation	0.219	eV per atom

extended XYZ file:
```
4
Lattice="2.904 0.000 0.000 0.000 4.759 0.000 0.000 0.000 4.949" Properties=species:S:1:pos:R:3 pbc="T T T"
Al 0.000 0.000 0.000
Al 1.452 2.380 0.952
Tl 1.452 0.000 2.504
Mo 0.000 2.380 3.606
```


No. 2
Entry from Alexandria via LeMat-Bulk: a geometry-optimized AlTlMo2 structure (GGA-PBEsol).

Output
space-group type	Fm-3m
crystal system	cubic
E above lowest polymorph	190.3	meV/atom
total energy	-6.99	eV per atom
energy of formation	0.574	eV per atom

extended XYZ file:
```
4
Lattice="0.000 3.207 3.207 3.207 0.000 3.207 3.207 3.207 0.000" Properties=species:S:1:pos:R:3 pbc="T T T"
Al 0.000 0.000 0.000
Tl 3.207 3.207 3.207
Mo 1.603 1.603 1.603
Mo 4.810 4.810 4.810
```


No. 3
Entry from Alexandria via LeMat-Bulk: a geometry-optimized AlTlMo2 structure (GGA-PBEsol).

Output
space-group type	Cmmm
crystal system	orthorhombic
E above lowest polymorph	27.0	meV/atom
total energy	-7.15	eV per atom
energy of formation	0.410	eV per atom

extended XYZ file:
```
4
Lattice="1.678 -2.263 0.000 1.678 2.263 0.000 0.000 0.000 8.835" Properties=species:S:1:pos:R:3 pbc="T T T"
Al 0.000 0.000 0.000
Tl 0.000 0.000 4.418
Mo 1.678 0.000 2.054
Mo 1.678 0.000 6.781
```


No. 4
Entry from Alexandria via LeMat-Bulk: a geometry-optimized Al2TlMo structure (GGA-PBEsol).

Output
space-group type	P4mm
crystal system	tetragonal
E above lowest polymorph	121.2	meV/atom
total energy	-5.33	eV per atom
energy of formation	0.320	eV per atom

extended XYZ file:
```
4
Lattice="2.863 0.000 0.000 0.000 2.863 0.000 0.000 0.000 8.750" Properties=species:S:1:pos:R:3 pbc="T T T"
Al 0.000 0.000 0.000
Al 1.432 1.432 2.007
Tl 1.432 1.432 6.165
Mo 0.000 0.000 3.847
```


No. 5
Entry from Alexandria via LeMat-Bulk: a geometry-optimized Al2TlMo structure (GGA-PBEsol).

Output
space-group type	P4/mmm
crystal system	tetragonal
E above lowest polymorph	0.0	meV/atom
total energy	-5.45	eV per atom
energy of formation	0.198	eV per atom

extended XYZ file:
```
4
Lattice="2.910 0.000 0.000 0.000 2.910 0.000 0.000 0.000 8.771" Properties=species:S:1:pos:R:3 pbc="T T T"
Al 0.000 0.000 1.781
Al 0.000 0.000 6.990
Tl 1.455 1.455 4.385
Mo 1.455 1.455 0.000
```


No. 6
Entry from Alexandria via LeMat-Bulk: a geometry-optimized Al2TlMo structure (GGA-PBEsol).

Output
space-group type	C2/m
crystal system	monoclinic
E above lowest polymorph	59.1	meV/atom
total energy	-5.39	eV per atom
energy of formation	0.258	eV per atom

extended XYZ file:
```
4
Lattice="4.852 -1.441 0.000 4.852 1.441 0.000 -0.581 0.000 4.994" Properties=species:S:1:pos:R:3 pbc="T T T"
Al 2.156 0.000 1.101
Al 6.966 0.000 3.893
Tl -0.291 0.000 2.497
Mo 4.852 0.000 0.000
```


No. 7
Entry from Alexandria via LeMat-Bulk: a geometry-optimized AlTlMo2 structure (GGA-PBEsol).

Output
space-group type	P2/m
crystal system	monoclinic
E above lowest polymorph	0.0	meV/atom
total energy	-7.18	eV per atom
energy of formation	0.383	eV per atom

extended XYZ file:
```
4
Lattice="2.841 0.000 0.000 0.000 4.440 0.000 -0.965 0.000 5.440" Properties=species:S:1:pos:R:3 pbc="T T T"
Al 0.000 0.000 0.000
Tl 0.938 0.000 2.720
Mo 0.083 2.220 4.277
Mo 1.794 2.220 1.163
```


No. 8
Entry from Alexandria via LeMat-Bulk: a geometry-optimized Tm6Al43Mo4 structure (GGA-PBEsol).

Output
space-group type	P6_3/mcm
crystal system	hexagonal
total energy	-5.07	eV per atom
energy of formation	-0.304	eV per atom

extended XYZ file:
```
106
Lattice="10.884 0.000 0.000 -5.442 9.426 0.000 0.000 0.000 17.534" Properties=species:S:1:pos:R:3 pbc="T T T"
Tm -2.546 4.410 1.668
Tm -2.546 4.410 7.099
Tm -2.896 5.015 10.435
Tm -2.896 5.015 15.866
Tm 5.093 0.000 1.668
Tm 5.093 0.000 7.099
Tm 2.546 4.410 10.435
Tm 2.546 4.410 15.866
Tm 5.791 0.000 10.435
Tm 5.791 0.000 15.866
Tm 2.896 5.015 1.668
Tm 2.896 5.015 7.099
Al -0.802 1.390 13.150
Al -0.866 1.501 2.014
Al -0.866 1.501 6.753
Al -1.386 2.400 9.291
Al -1.386 2.400 17.010
Al -4.056 7.025 0.524
Al -4.056 7.025 8.243
Al -4.575 7.925 10.781
Al -4.575 7.925 15.520
Al -4.640 8.036 4.383
Al 1.605 0.000 13.150
Al 0.802 1.390 4.383
Al -1.393 5.199 4.383
Al -1.636 5.620 13.150
Al -0.435 3.713 11.631
Al -0.435 3.713 14.670
Al -2.444 7.193 2.864
Al -2.444 7.193 5.903
Al 1.733 0.000 2.014
Al 1.733 0.000 6.753
Al 0.866 1.501 10.781
Al 0.866 1.501 15.520
Al 0.435 3.713 2.864
Al 0.435 3.713 5.903
Al -2.009 7.945 11.631
Al -2.009 7.945 14.670
Al 0.000 4.656 0.000
Al 0.000 4.656 8.767
Al -1.410 7.098 0.000
Al -1.410 7.098 8.767
Al 2.772 0.000 9.291
Al 2.772 0.000 17.010
Al 1.386 2.400 0.524
Al 1.386 2.400 8.243
Al 0.000 6.284 2.195
Al 0.000 6.284 6.572
Al 0.000 6.284 10.962
Al 0.000 6.284 15.339
Al 3.433 1.480 11.631
Al 3.433 1.480 14.670
Al 2.998 2.233 2.864
Al 2.998 2.233 5.903
Al 1.393 5.199 13.150
Al -0.243 8.032 4.383
Al 1.636 5.620 4.383
Al 0.243 8.032 13.150
Al 4.032 2.328 0.000
Al 4.032 2.328 8.767
Al 1.410 7.098 0.000
Al 1.410 7.098 8.767
Al 5.199 1.393 4.383
Al 3.806 3.805 13.150
Al 5.685 1.393 13.150
Al 4.049 4.227 4.383
Al 2.444 7.193 11.631
Al 2.444 7.193 14.670
Al 2.009 7.945 2.864
Al 2.009 7.945 5.903
Al 5.442 3.142 2.195
Al 5.442 3.142 6.572
Al 5.442 3.142 10.962
Al 5.442 3.142 15.339
Al 8.112 0.000 0.524
Al 8.112 0.000 8.243
Al 4.056 7.025 9.291
Al 4.056 7.025 17.010
Al 6.851 2.328 0.000
Al 6.851 2.328 8.767
Al 5.442 4.770 0.000
Al 5.442 4.770 8.767
Al 7.451 1.480 2.864
Al 7.451 1.480 5.903
Al 5.007 5.713 11.631
Al 5.007 5.713 14.670
Al 9.151 0.000 10.781
Al 9.151 0.000 15.520
Al 4.575 7.925 2.014
Al 4.575 7.925 6.753
Al 7.885 2.233 11.631
Al 7.885 2.233 14.670
Al 5.876 5.713 2.864
Al 5.876 5.713 5.903
Al 7.078 3.805 4.383
Al 6.835 4.227 13.150
Al 9.279 0.000 4.383
Al 4.640 8.036 13.150
Mo 0.000 0.000 0.000
Mo 0.000 0.000 8.767
Mo -1.479 2.562 4.383
Mo -3.963 6.863 13.150
Mo 2.959 0.000 4.383
Mo 1.479 2.562 13.150
Mo 7.925 0.000 13.150
Mo 3.963 6.863 4.383
```


No. 9
Entry from Alexandria via LeMat-Bulk: a geometry-optimized AlMoW structure (GGA-PBEsol).

Output
space-group type	P3m1
crystal system	trigonal
E above lowest polymorph	228.3	meV/atom
total energy	-9.68	eV per atom
energy of formation	0.209	eV per atom

extended XYZ file:
```
3
Lattice="2.785 0.000 0.000 -1.393 2.412 0.000 0.000 0.000 6.896" Properties=species:S:1:pos:R:3 pbc="T T T"
Al 0.000 0.000 0.000
Mo 0.000 1.608 4.627
W 1.393 0.804 2.283
```


No. 10
Entry from Alexandria via LeMat-Bulk: a geometry-optimized AlMoW structure (GGA-PBEsol).

Output
space-group type	Fmm2
crystal system	orthorhombic
E above lowest polymorph	0.0	meV/atom
total energy	-9.91	eV per atom
energy of formation	-0.019	eV per atom

extended XYZ file:
```
3
Lattice="0.000 2.229 6.488 1.580 0.000 6.488 1.580 2.229 0.000" Properties=species:S:1:pos:R:3 pbc="T T T"
Al 0.000 0.000 0.000
Mo 1.580 2.229 8.633
W 1.580 2.229 4.315
```


No. 11
Entry from Alexandria via LeMat-Bulk: a geometry-optimized AlMoW structure (GGA-PBEsol).

Output
space-group type	F-43m
crystal system	cubic
E above lowest polymorph	800.8	meV/atom
total energy	-9.11	eV per atom
energy of formation	0.782	eV per atom

extended XYZ file:
```
3
Lattice="0.000 3.007 3.007 3.007 0.000 3.007 3.007 3.007 0.000" Properties=species:S:1:pos:R:3 pbc="T T T"
Al 0.000 0.000 0.000
Mo 4.511 4.511 4.511
W 3.007 3.007 3.007
```


No. 12
Entry from Alexandria via LeMat-Bulk: a geometry-optimized AlMo3W structure (GGA-PBEsol).

Output
space-group type	Pm-3m
crystal system	cubic
total energy	-8.91	eV per atom
energy of formation	1.733	eV per atom

extended XYZ file:
```
5
Lattice="4.417 0.000 0.000 0.000 4.417 0.000 0.000 0.000 4.417" Properties=species:S:1:pos:R:3 pbc="T T T"
Al 0.000 0.000 0.000
Mo 0.000 0.000 2.208
Mo 0.000 2.208 0.000
Mo 2.208 0.000 0.000
W 2.208 2.208 2.208
```